SeIBr2 after structural relaxation, computed with GGA-PBE.

Results
E_tot (eV per atom): -1.39
Energy above the most stable polymorph in this dataset (kJ/mol of formula units): 274
Energy relative to the elements, uncorrected (eV per atom): 0.7089
Space-group type: Fm-3m

Lattice parameters (Å, degrees): 5.4011 5.4011 5.4011 60.00 60.00 60.00
Last column: nearest neighbours and their distance in Å.
Fractional coordinates of all 4 atoms:
Se 0.0000 0.0000 0.0000  8 Br 3.31
I 0.5000 0.5000 0.5000  8 Br 3.31
Br 0.2500 0.2500 0.2500  4 Se 3.31, 4 I 3.31
Br 0.7500 0.7500 0.7500  4 Se 3.31, 4 I 3.31

=====

In2TeBr after structural relaxation, computed with GGA-PBE.

Results
E_tot (eV per atom): -2.90
Energy above the most stable polymorph in this dataset (kJ/mol of formula units): 36
Energy relative to the elements, uncorrected (eV per atom): -0.3259
Space-group type: Fm-3m

Lattice parameters (Å, degrees): 5.5134 5.5134 5.5134 60.00 60.00 60.00
Last column: nearest neighbours and their distance in Å.
Fractional coordinates of all 4 atoms:
In 0.2500 0.2500 0.2500  4 Br 3.38, 4 Te 3.38
In 0.7500 0.7500 0.7500  4 Br 3.38, 4 Te 3.38
Te 0.0000 0.0000 0.0000  8 In 3.38
Br 0.5000 0.5000 0.5000  8 In 3.38

=====

Na4NdHg15 after structural relaxation, computed with GGA-PBE.

Results
E_tot (eV per atom): -0.95
ΔE_f (eV per atom): -0.224
Space-group type: P4/mmm

Lattice parameters (Å, degrees): 4.7008 4.7008 23.3034 90.00 90.00 90.00
Last column: nearest neighbours and their distance in Å.
Fractional coordinates of all 20 atoms:
Na 0.0000 0.0000 0.1001  12 Hg 3.31-3.32
Na 0.0000 0.0000 0.2989  12 Hg 3.28-3.32
Na 0.0000 0.0000 0.7011  12 Hg 3.28-3.32
Na 0.0000 0.0000 0.8999  12 Hg 3.31-3.32
Nd 0.0000 0.0000 0.5000  12 Hg 3.32
Hg 0.0000 0.5000 0.0000  4 Na 3.31, 8 Hg 3.31-3.32
Hg 0.0000 0.5000 0.2004  4 Na 3.28-3.31, 8 Hg 3.31-3.34
Hg 0.0000 0.5000 0.3992  8 Hg 3.26-3.32, 2 Na 3.31, 2 Nd 3.32
Hg 0.0000 0.5000 0.6008  8 Hg 3.26-3.32, 2 Na 3.31, 2 Nd 3.32
Hg 0.0000 0.5000 0.7996  4 Na 3.28-3.31, 8 Hg 3.31-3.34
Hg 0.5000 0.0000 0.0000  4 Na 3.31, 8 Hg 3.31-3.32
Hg 0.5000 0.0000 0.2004  4 Na 3.28-3.31, 8 Hg 3.31-3.34
Hg 0.5000 0.0000 0.3992  8 Hg 3.26-3.32, 2 Na 3.31, 2 Nd 3.32
Hg 0.5000 0.0000 0.6008  8 Hg 3.26-3.32, 2 Na 3.31, 2 Nd 3.32
Hg 0.5000 0.0000 0.7996  4 Na 3.28-3.31, 8 Hg 3.31-3.34
Hg 0.5000 0.5000 0.1003  8 Hg 3.31, 4 Na 3.32
Hg 0.5000 0.5000 0.3020  8 Hg 3.26-3.34, 4 Na 3.32
Hg 0.5000 0.5000 0.5000  8 Hg 3.32, 4 Nd 3.32
Hg 0.5000 0.5000 0.6980  8 Hg 3.26-3.34, 4 Na 3.32
Hg 0.5000 0.5000 0.8997  8 Hg 3.31, 4 Na 3.32

=====

KPa4Re3N12 after structural relaxation, computed with GGA-PBE.

Results
E_tot (eV per atom): -9.37
Energy relative to the elements, uncorrected (eV per atom): -0.5579
Space-group type: Im-3

Lattice parameters (Å, degrees): 7.1540 7.1540 7.1540 109.47 109.47 109.47
Last column: nearest neighbours and their distance in Å.
Fractional coordinates of all 20 atoms:
K 0.0000 0.0000 0.0000  12 N 3.03
Pa 0.0000 0.0000 0.5000  6 N 2.28
Pa 0.0000 0.5000 0.0000  6 N 2.28
Pa 0.5000 0.0000 0.0000  6 N 2.28
Pa 0.5000 0.5000 0.5000  6 N 2.28
Re 0.0000 0.5000 0.5000  4 N 1.96
Re 0.5000 0.0000 0.5000  4 N 1.96
Re 0.5000 0.5000 0.0000  4 N 1.96
N 0.1632 0.3279 0.4911  1 Re 1.96
N 0.1632 0.6721 0.8354  1 Re 1.96
N 0.1646 0.8368 0.3279  1 Re 1.96
N 0.3279 0.1646 0.8368  1 Re 1.96
N 0.3279 0.4911 0.1632  1 Re 1.96
N 0.4911 0.1632 0.3279  1 Re 1.96
N 0.5089 0.8368 0.6721  1 Re 1.96
N 0.6721 0.5089 0.8368  1 Re 1.96
N 0.6721 0.8354 0.1632  1 Re 1.96
N 0.8354 0.1632 0.6721  1 Re 1.96
N 0.8368 0.3279 0.1646  1 Re 1.96
N 0.8368 0.6721 0.5089  1 Re 1.96

=====

SrLiCd after structural relaxation, computed with GGA-PBE.

Results
E_tot (eV per atom): -1.28
Energy above the most stable polymorph in this dataset (kJ/mol of formula units): 129
ΔE_f (eV per atom): 0.223
Space-group type: F-43m

Lattice parameters (Å, degrees): 5.4636 5.4636 5.4636 60.00 60.00 60.00
Last column: nearest neighbours and their distance in Å.
Fractional coordinates of all 3 atoms:
Sr 0.0000 0.0000 0.0000  4 Cd 3.35, 4 Li 3.35
Li 0.7500 0.7500 0.7500  4 Sr 3.35
Cd 0.2500 0.2500 0.2500  4 Sr 3.35

=====

PuVFe2 after structural relaxation, computed with GGA-PBE.

Results
E_tot (eV per atom): -9.92
Energy above the most stable polymorph in this dataset (kJ/mol of formula units): 57
ΔE_f (eV per atom): 0.174
Space-group type: Fm-3m

Lattice parameters (Å, degrees): 4.3813 4.3813 4.3813 60.00 60.00 60.00
Last column: nearest neighbours and their distance in Å.
Fractional coordinates of all 4 atoms:
Pu 0.0000 0.0000 0.0000  8 Fe 2.68
V 0.5000 0.5000 0.5000  8 Fe 2.68
Fe 0.2500 0.2500 0.2500  4 Pu 2.68, 4 V 2.68
Fe 0.7500 0.7500 0.7500  4 Pu 2.68, 4 V 2.68

=====

AcTbZnAu after structural relaxation, computed with GGA-PBE.

Results
E_tot (eV per atom): -3.86
Energy above the most stable polymorph in this dataset (kJ/mol of formula units): 0
ΔE_f (eV per atom): -0.538
Space-group type: P4mm

Lattice parameters (Å, degrees): 3.7484 3.7484 7.5323 90.00 90.00 90.00
Last column: nearest neighbours and their distance in Å.
Fractional coordinates of all 4 atoms:
Ac 0.0000 0.0000 0.0000  4 Zn 3.39, 4 Au 3.45, 4 Ac 3.75, 2 Tb 3.76-3.77
Tb 0.0000 0.0000 0.5008  4 Au 3.07, 4 Zn 3.13
Zn 0.5000 0.5000 0.2808  4 Tb 3.13, 1 Au 3.21, 4 Ac 3.39
Au 0.5000 0.5000 0.7066  4 Tb 3.07, 1 Zn 3.21

=====

Fe4PdRh after structural relaxation, computed with GGA-PBE.

Results
E_tot (eV per atom): -7.72
ΔE_f (eV per atom): 0.015
Space-group type: F-43m

Lattice parameters (Å, degrees): 4.7524 4.7524 4.7524 60.00 60.00 60.00
Last column: nearest neighbours and their distance in Å.
Fractional coordinates of all 6 atoms:
Fe 0.1252 0.1252 0.1252  6 Fe 2.37-2.38
Fe 0.1252 0.1252 0.6242  6 Fe 2.37-2.38
Fe 0.1252 0.6242 0.1252  6 Fe 2.37-2.38
Fe 0.6242 0.1252 0.1252  6 Fe 2.37-2.38
Pd 0.7500 0.7500 0.7500  12 Fe 2.79, 4 Rh 2.91
Rh 0.5000 0.5000 0.5000  12 Fe 2.79, 4 Pd 2.91

=====

TbTmPt2 after structural relaxation, computed with GGA-PBE.

Results
E_tot (eV per atom): -6.44
Energy above the most stable polymorph in this dataset (kJ/mol of formula units): 58
ΔE_f (eV per atom): -1.143
Space-group type: R-3m

Lattice parameters (Å, degrees): 7.0307 7.0307 7.0307 33.44 33.44 33.44
Last column: nearest neighbours and their distance in Å.
Fractional coordinates of all 4 atoms:
Tb 0.0000 0.0000 0.0000  6 Pt 2.89
Tm 0.5000 0.5000 0.5000  6 Pt 2.84
Pt 0.2478 0.2478 0.2478  3 Tm 2.84, 3 Tb 2.89
Pt 0.7522 0.7522 0.7522  3 Tm 2.84, 3 Tb 2.89

=====

AcPmGeS after structural relaxation, computed with GGA-PBE.

Results
E_tot (eV per atom): -5.80
Energy relative to the elements, uncorrected (eV per atom): -1.3947
Space-group type: R3m

Lattice parameters (Å, degrees): 7.4863 7.4863 7.4863 33.68 33.68 33.68
Last column: nearest neighbours and their distance in Å.
Fractional coordinates of all 4 atoms:
Ac 0.0000 0.0000 0.0000  3 S 3.12, 3 Ge 3.14
Pm 0.4999 0.4999 0.4999  3 Ge 2.99, 3 S 3.01
Ge 0.7558 0.7558 0.7558  3 Pm 2.99, 3 Ac 3.14
S 0.2451 0.2451 0.2451  3 Pm 3.01, 3 Ac 3.12

=====

Rb2MgGe2Se6 after structural relaxation, computed with GGA-PBE.

Results
E_tot (eV per atom): -3.68
Energy relative to the elements, uncorrected (eV per atom): -0.6157
Space-group type: R-3m

Lattice parameters (Å, degrees): 9.0105 9.0105 9.0105 48.60 48.60 48.60
Last column: nearest neighbours and their distance in Å.
Fractional coordinates of all 11 atoms:
Rb 0.2219 0.2219 0.2219  9 Se 3.78-3.89
Rb 0.7781 0.7781 0.7781  9 Se 3.78-3.89
Mg 0.0000 0.0000 0.0000  6 Se 2.79
Ge 0.4051 0.4051 0.4051  3 Se 2.29
Ge 0.5949 0.5949 0.5949  3 Se 2.29
Se 0.2302 0.7624 0.7624  1 Ge 2.29
Se 0.2376 0.2376 0.7698  1 Ge 2.29
Se 0.2376 0.7698 0.2376  1 Ge 2.29
Se 0.7624 0.2302 0.7624  1 Ge 2.29
Se 0.7624 0.7624 0.2302  1 Ge 2.29
Se 0.7698 0.2376 0.2376  1 Ge 2.29

=====

ThSc2Au after structural relaxation, computed with GGA-PBE.

Results
E_tot (eV per atom): -6.24
Energy above the most stable polymorph in this dataset (kJ/mol of formula units): 0
ΔE_f (eV per atom): -0.404
Space-group type: P4/mmm

Lattice parameters (Å, degrees): 3.4884 3.4884 7.7924 90.00 90.00 90.00
Last column: nearest neighbours and their distance in Å.
Fractional coordinates of all 4 atoms:
Th 0.0000 0.0000 0.0000  8 Sc 3.37, 4 Th 3.49
Sc 0.5000 0.5000 0.2944  4 Au 2.94, 1 Sc 3.20
Sc 0.5000 0.5000 0.7056  4 Au 2.94, 1 Sc 3.20
Au 0.0000 0.0000 0.5000  8 Sc 2.94